Density functional theory data (PBE-GGA) for a geometry-optimized Sr6Tl2Zn structure.

Relative energy among the computed polymorphs = 4.7 meV/atom
Energy of formation = -19.78 kJ/mol of atoms
Total magnetization = 0.001 μB per formula unit
DFT total energy = -1.994 eV/atom

Cell lengths 5.9738, 5.9738, 11.1497 Å; angles 90.00, 90.00, 120.00 degrees
Last column: nearest neighbours and their distance in Å.
Space group P-3m1 (No. 164)
Asymmetric unit:
Sr (0.0000, 0.0000, 0.2163)  1 Zn 3.16, 3 Tl 3.48
Sr (0.3333, 0.6667, 0.0576)  1 Tl 3.52, 6 Sr 3.68-3.88
Sr (0.3333, 0.6667, 0.4196)  3 Zn 3.56, 4 Tl 3.60-3.89, 3 Sr 3.89
Tl (0.3333, 0.6667, 0.7422)  8 Sr 3.48-3.89
Zn (0.0000, 0.0000, 0.5000)  2 Sr 3.16

Density functional theory data (PBE-GGA) for a geometry-optimized SrTlZn2 structure.

Energy of formation = -8.51 kJ/mol of atoms
Total magnetization = 0.000 μB per formula unit
DFT total energy = -1.737 eV/atom

Cell lengths 3.6126, 3.6126, 7.6013 Å; angles 90.00, 90.00, 90.00 degrees
Last column: nearest neighbours and their distance in Å.
Space group P4mm (No. 99)
Asymmetric unit:
Sr (0.0000, 0.0000, 0.0000)  5 Zn 3.33-3.37, 4 Tl 3.53, 4 Sr 3.61
Tl (0.5000, 0.5000, 0.3203)  5 Zn 2.97-3.15
Zn (0.0000, 0.0000, 0.5620)  4 Zn 2.79
Zn (0.5000, 0.5000, 0.7110)  4 Zn 2.79, 1 Tl 2.97

Density functional theory data (PBE-GGA) for a geometry-optimized Sr3Tl7Zn2 structure.

Energy of formation = -20.53 kJ/mol of atoms
Total magnetization = 0.000 μB per formula unit
DFT total energy = -2.226 eV/atom

Cell lengths 5.0263, 4.7535, 15.3704 Å; angles 90.00, 99.17, 90.00 degrees
Last column: nearest neighbours and their distance in Å.
Space group P2/m (No. 10)
Asymmetric unit:
Sr (0.0000, 0.0000, 0.0000)  12 Tl 3.46-3.59
Sr (0.3192, 0.5000, 0.6412)  10 Tl 3.71-3.85, 4 Zn 3.71-3.72
Tl (0.0835, 0.5000, 0.1681)  2 Zn 2.83
Tl (0.2242, 0.0000, 0.4469)  1 Zn 2.69, 2 Tl 2.99
Tl (0.4152, 0.0000, 0.8325)  2 Zn 2.94-2.96
Tl (0.5000, 0.5000, 0.0000)  4 Sr 3.46, 8 Tl 3.48-3.59
Zn (0.1363, 0.0000, 0.2694)  5 Tl 2.69-2.96